[1]
Compound: V4CrGa2
Source: Alexandria
Functional: GGA-PBE
Structure: optimized geometry

The structure belongs to space group P2_1/m (No. 11); the cell edges are 6.458, 5.000 and 6.673 Å and the angles 90.00°, 115.85° and 90.00°. The asymmetric unit holds V at (0.008, 0.250, 0.466), V at (0.123, 0.250, 0.872), V at (0.429, 0.502, 0.783), Cr at (0.248, 0.250, 0.268), Ga at (0.190, 0.750, 0.971) and Ga at (0.331, 0.750, 0.411).

The formation energy comes out at 0.047 eV per atom. Its total energy is -103.64 eV/cell. The relative energy among the computed polymorphs is 0.0 meV/atom. Its total magnetization is 0.0 μB per cell.


[2]
Compound: CoPbSe2
Source: Alexandria
Functional: GGA-PBE
Structure: optimized geometry

The structure belongs to space group P2/m (No. 10); the cell edges are 4.926, 3.491 and 5.596 Å and the angles 90.00°, 116.04° and 90.00°. The asymmetric unit holds Co at (0.000, 0.000, 0.000), Pb at (0.000, 0.000, 0.500) and Se at (0.349, 0.500, 0.155).

Its total energy is -18.37 eV/cell. The uncorrected formation energy comes out at -0.146 eV per atom. Its total magnetization is 0.0 μB per cell.


[3]
Compound: LaPm5Ge3
Source: Alexandria
Functional: GGA-PBE
Structure: optimized geometry

The structure belongs to space group P6_3/mcm (No. 193); the cell edges are 9.2045, 9.2045 and 6.5579 Å and the angles 90.00°, 90.00° and 120.00°. The asymmetric unit holds La at (0.0000, 0.0000, 0.0000), Pm at (0.0000, 0.3327, 0.2500), Pm at (0.3333, 0.6667, 0.0000) and Ge at (0.0000, 0.3360, 0.7500).

The formation energy comes out at -0.537 eV per atom. Its total energy is -94.74 eV/cell. Its total magnetization is 4.3 μB per cell.


[4]
Compound: RbTl3Rh
Source: Alexandria
Functional: GGA-PBE
Structure: optimized geometry

The structure belongs to space group P6_3/mmc (No. 194); the cell edges are 4.5815, 4.5815 and 22.1300 Å and the angles 90.00°, 90.00° and 120.00°. The asymmetric unit holds Rb at (0.0000, 0.0000, 0.0000), Tl at (0.0000, 0.0000, 0.2500), Tl at (0.3333, 0.6667, 0.1301) and Rh at (0.3333, 0.6667, 0.2500).

The formation energy comes out at 0.213 eV per atom. Its total energy is -28.70 eV/cell. The relative energy among the computed polymorphs is 276.4 meV/atom. Its total magnetization is 0.0 μB per cell.